Entry 1:
In2NiHg: single point on PBEsol structure, meta-GGA SCAN.

Cell: 4.180 4.180 8.668 Å, 90.00 90.00 90.00°
Space group I-4m2 (No. 119)
Unique sites:
In (0.000, 0.000, 0.000) [2 per cell]
In (0.000, 0.500, 0.250) [2 per cell]
Ni (0.000, 0.000, 0.500) [2 per cell]
Hg (0.000, 0.500, 0.750) [2 per cell]

Values from the calculation:
The total energy comes out at -300.14 eV per cell. Its density of states at the Fermi level is 4.95 states/eV per cell.

Entry 2:
Cu2SiP: single point on PBEsol structure, meta-GGA SCAN.

Cell: 3.733 3.733 3.668 Å, 90.00 90.00 90.00°
Space group P4/mmm (No. 123)
Unique sites:
Cu (0.000, 0.500, 0.000) [2 per cell]
Si (0.000, 0.000, 0.500) [1 per cell]
P (0.500, 0.500, 0.500) [1 per cell]

Values from the calculation:
The total energy comes out at -49.53 eV per cell. Its density of states at the Fermi level is 1.41 states/eV per cell. For the raw formation energy, the calculation gives 0.3212 eV/atom.

Entry 3:
LiCa9CoP7O28: single point on PBEsol structure, meta-GGA SCAN.

Cell: 10.2559 10.2559 36.9039 Å, 90.00 90.00 120.00°
Space group R3c (No. 161, hexagonal axes)
Unique sites:
Li (0.0000, 0.0000, 0.0000) [6 per cell]
Ca (0.0449, 0.5079, 0.2842) [18 per cell]
Ca (0.1897, 0.3984, 0.0231) [18 per cell]
Ca (0.1920, 0.3956, 0.9145) [18 per cell]
Co (0.0000, 0.0000, 0.1790) [6 per cell]
P (0.0000, 0.0000, 0.4151) [6 per cell]
P (0.0114, 0.4853, 0.4831) [18 per cell]
P (0.1628, 0.3601, 0.7130) [18 per cell]
O (0.0000, 0.0000, 0.3732) [6 per cell]
O (0.0006, 0.1432, 0.9287) [18 per cell]
O (0.0028, 0.2790, 0.0696) [18 per cell]
O (0.0286, 0.2409, 0.2968) [18 per cell]
O (0.0450, 0.5153, 0.5239) [18 per cell]
O (0.0623, 0.3734, 0.4711) [18 per cell]
O (0.0884, 0.1836, 0.7135) [18 per cell]
O (0.1020, 0.4243, 0.2285) [18 per cell]
O (0.1688, 0.4283, 0.6749) [18 per cell]
O (0.1733, 0.0792, 0.1419) [18 per cell]

Values from the calculation:
The total energy comes out at -2964.40 eV per cell. Its density of states at the Fermi level is 41.27 states/eV per cell. For the raw formation energy, the calculation gives -3.0465 eV/atom.

Entry 4:
SbWSe2N: single point on PBEsol structure, meta-GGA SCAN.

Cell: 5.229 5.229 3.790 Å, 90.00 90.00 90.00°
Space group P4/mmm (No. 123)
Unique sites:
Sb (0.000, 0.000, 0.000) [1 per cell]
W (0.500, 0.500, 0.500) [1 per cell]
Se (0.000, 0.500, 0.000) [2 per cell]
N (0.000, 0.000, 0.500) [1 per cell]

Values from the calculation:
The total energy comes out at -148.30 eV per cell. Its density of states at the Fermi level is 1.71 states/eV per cell. For the raw formation energy, the calculation gives 1.6186 eV/atom.

Entry 5:
Ca2ScIn: single point on PBEsol structure, meta-GGA SCAN.

Cell: 7.578 7.578 7.578 Å, 90.00 90.00 90.00°
Space group F-43m (No. 216)
Unique sites:
Ca (0.000, 0.000, 0.000) [4 per cell]
Ca (0.250, 0.250, 0.250) [4 per cell]
Sc (0.250, 0.250, 0.750) [4 per cell]
In (0.000, 0.000, 0.500) [4 per cell]

Values from the calculation:
The total energy comes out at -270.25 eV per cell. Its density of states at the Fermi level is 15.13 states/eV per cell.

Entry 6:
Sr2LiTl: single point on PBEsol structure, meta-GGA SCAN.

Cell: 5.226 4.267 12.455 Å, 90.00 90.00 90.00°
Space group Amm2 (No. 38)
Unique sites:
Sr (0.000, 0.000, 0.000) [2 per cell]
Sr (0.500, 0.000, 0.293) [2 per cell]
Li (0.500, 0.000, 0.592) [2 per cell]
Tl (0.000, 0.000, 0.714) [2 per cell]

Values from the calculation:
The energy above the most stable polymorph in this dataset is 39.2 meV per atom. The total energy comes out at -241.24 eV per cell. Its density of states at the Fermi level is 7.19 states/eV per cell.

Entry 7:
Sr2CoHg: single point on PBEsol structure, meta-GGA SCAN.

Cell: 4.0239 4.0239 25.3503 Å, 90.00 90.00 120.00°
Space group R-3m (No. 166, hexagonal axes)
Unique sites:
Sr (0.0000, 0.0000, 0.2375) [6 per cell]
Co (0.0000, 0.0000, 0.5000) [3 per cell]
Hg (0.0000, 0.0000, 0.0000) [3 per cell]

Values from the calculation:
The total energy comes out at -387.40 eV per cell. Its density of states at the Fermi level is 11.12 states/eV per cell.

Entry 8:
Tb4Al24Pd9: single point on PBEsol structure, meta-GGA SCAN.

Cell: 7.482 7.484 13.058 Å, 79.01 84.53 60.14°
Space group P-1 (No. 2)
Unique sites:
Tb (0.002, 0.232, 0.309) [2 per cell]
Tb (0.332, 0.562, 0.309) [2 per cell]
Al (0.000, 0.313, 0.060) [2 per cell]
Al (0.001, 0.852, 0.444) [2 per cell]
Al (0.006, 0.056, 0.830) [2 per cell]
Al (0.130, 0.309, 0.685) [2 per cell]
Al (0.332, 0.183, 0.455) [2 per cell]
Al (0.333, 0.021, 0.938) [2 per cell]
Al (0.333, 0.647, 0.060) [2 per cell]
Al (0.334, 0.383, 0.830) [2 per cell]
Al (0.334, 0.483, 0.555) [2 per cell]
Al (0.336, 0.897, 0.684) [2 per cell]
Al (0.340, 0.270, 0.169) [2 per cell]
Al (0.457, 0.897, 0.316) [2 per cell]
Pd (0.000, 0.500, 0.500) [1 per cell]
Pd (0.008, 0.613, 0.138) [2 per cell]
Pd (0.326, 0.954, 0.138) [2 per cell]
Pd (0.329, 0.829, 0.500) [2 per cell]
Pd (0.333, 0.705, 0.862) [2 per cell]

Values from the calculation:
The total energy comes out at -699.25 eV per cell. Its density of states at the Fermi level is 7.26 states/eV per cell.

Entry 9:
Si2SnOsRh: single point on PBEsol structure, meta-GGA SCAN.

Cell: 4.465 4.465 5.140 Å, 90.00 90.00 90.00°
Space group P4/mmm (No. 123)
Unique sites:
Si (0.000, 0.500, 0.000) [2 per cell]
Sn (0.000, 0.000, 0.500) [1 per cell]
Os (0.000, 0.000, 0.000) [1 per cell]
Rh (0.500, 0.500, 0.500) [1 per cell]

Values from the calculation:
The total energy comes out at -157.89 eV per cell. Its density of states at the Fermi level is 3.33 states/eV per cell. For the raw formation energy, the calculation gives 0.7423 eV/atom.

Entry 10:
LaAsPb2S: single point on PBEsol structure, meta-GGA SCAN.

Cell: 5.312 5.312 5.410 Å, 90.00 90.00 90.00°
Space group P4/mmm (No. 123)
Unique sites:
La (0.000, 0.000, 0.000) [1 per cell]
As (0.500, 0.500, 0.000) [1 per cell]
Pb (0.000, 0.500, 0.500) [2 per cell]
S (0.000, 0.000, 0.500) [1 per cell]

Values from the calculation:
The total energy comes out at -225.95 eV per cell. Its density of states at the Fermi level is 2.48 states/eV per cell. For the raw formation energy, the calculation gives -0.2930 eV/atom.

Entry 11:
CdNiP2: single point on PBEsol structure, meta-GGA SCAN.

Cell: 3.768 3.195 5.836 Å, 90.00 108.50 90.00°
Space group Pm (No. 6)
Unique sites:
Cd (0.000, 0.000, 0.000) [1 per cell]
Ni (0.623, 0.500, 0.250) [1 per cell]
P (0.206, 0.500, 0.478) [1 per cell]
P (0.615, 0.000, 0.533) [1 per cell]

Values from the calculation:
The total energy comes out at -67.28 eV per cell. Its density of states at the Fermi level is 1.01 states/eV per cell.

Entry 12:
SrWAu: single point on PBEsol structure, meta-GGA SCAN.

Cell: 4.9084 4.9084 2.9715 Å, 90.00 90.00 120.00°
Space group P-6m2 (No. 187)
Unique sites:
Sr (0.0000, 0.0000, 0.0000) [1 per cell]
W (0.6667, 0.3333, 0.5000) [1 per cell]
Au (0.3333, 0.6667, 0.5000) [1 per cell]

Values from the calculation:
The energy above the most stable polymorph in this dataset is 286.4 meV per atom. The total energy comes out at -158.47 eV per cell. Its density of states at the Fermi level is 2.41 states/eV per cell.